Density functional theory data (PBE) for a geometry-optimized TaAlP2 structure.

Computed properties:
ρ, Mg/m³: 6.822
E_form, eV per atom: -0.133
Uncorrected energy, eV per atom: -6.737
DOS(E_F), states/eV per cell: 2.0
Space group: C2/m, No. 12
Size of the total moment, μB per formula unit: 0.00

Unit cell a=4.565 b=4.565 c=4.876 alpha=87.61 beta=87.61 gamma=40.33
Element x y z (fractional)
1 P 0.469 0.469 0.565
2 P 0.031 0.031 0.935
3 Al 0.250 0.250 0.250
4 Ta 0.750 0.750 0.750

---

Density functional theory data (PBE) for a geometry-optimized Ta2AlP structure.

Computed properties:
ρ, Mg/m³: 10.939
E_form, eV per atom: -0.112
Uncorrected energy, eV per atom: -8.327
Polymorph energy (0 for the lowest one), meV per atom: 216
DOS(E_F), states/eV per cell: 4.1
Space group: I-4m2, No. 119
Size of the total moment, μB per formula unit: 0.00

Unit cell a=5.116 b=5.116 c=5.116 alpha=136.01 beta=136.01 gamma=63.97
Element x y z (fractional)
1 Al 0.500 0.500 0.000
2 Ta 0.250 0.750 0.500
3 Ta 0.000 0.000 0.000
4 P 0.750 0.250 0.500